Cd2Pt: relaxed, PBE-GGA.

The structure in POSCAR format:
```
Cd2Pt
1.0
-3.5509 2.6827 -1.6616
-0.8611 -4.4335 1.4727
-1.0206 1.9901 5.3943
Pt Cd
2 4
Cartesian
-2.5231 -0.5689 4.4737 Pt
-2.9094 0.8081 0.7318 Pt
-3.4198 1.8032 3.4289 Cd
0.0000 0.0000 0.0000 Cd
-2.0128 -1.5639 1.7765 Cd
-0.5103 0.9951 2.6971 Cd
```

Computed properties:
Uncorrected energy in eV per atom: -2.84
Total magnetization in μB/cell: 0.00
Energy relative to the elements in eV/atom: -0.21

---

CdPt6: relaxed, PBE-GGA.

The structure in POSCAR format:
```
CdPt6
1.0
6.1025 0.0000 0.0000
-2.0342 5.7535 0.0000
-2.0342 -2.8768 4.9827
Pt Cd
6 1
Cartesian
1.0171 3.5959 1.2457 Pt
1.0171 -0.7192 3.7370 Pt
3.0513 0.0000 2.4913 Pt
-1.0171 0.7192 3.7370 Pt
3.0513 2.1576 1.2457 Pt
-1.0171 2.8768 2.4913 Pt
0.0000 0.0000 0.0000 Cd
```

Computed properties:
Uncorrected energy in eV per atom: -4.56
Total magnetization in μB/cell: 2.15
Energy relative to the elements in eV/atom: 0.75

---

Cd2Pt: relaxed, PBE-GGA.

The structure in POSCAR format:
```
Cd2Pt
1.0
-5.7644 5.5132 1.2121
-1.9809 -7.4536 -2.3692
-0.2146 -0.8554 2.8704
Pt Cd
3 6
Cartesian
-3.2420 -3.1313 -1.1755 Pt
-4.5032 1.1910 0.0183 Pt
-0.1073 -0.4277 1.4352 Pt
-0.5871 -2.2092 -0.7022 Cd
-1.3467 -5.0915 -0.0473 Cd
-5.4496 -1.3652 -0.8142 Cd
-3.0062 -1.1539 1.0021 Cd
-3.7142 3.0220 2.1936 Cd
-1.7085 1.6341 0.3592 Cd
```

Computed properties:
Uncorrected energy in eV per atom: -2.87
Total magnetization in μB/cell: 0.00
Energy relative to the elements in eV/atom: -0.25

---

CdPt3: relaxed, PBE-GGA.

The structure in POSCAR format:
```
CdPt3
1.0
5.1669 0.0000 0.0000
0.0000 5.1669 0.0000
0.0000 0.0000 5.1669
Pt Cd
6 2
Cartesian
0.0000 1.2917 2.5835 Pt
2.5835 0.0000 1.2917 Pt
0.0000 3.8752 2.5835 Pt
1.2917 2.5835 0.0000 Pt
3.8752 2.5835 0.0000 Pt
2.5835 0.0000 3.8752 Pt
0.0000 0.0000 0.0000 Cd
2.5835 2.5835 2.5835 Cd
```

Computed properties:
Uncorrected energy in eV per atom: -4.64
Total magnetization in μB/cell: 0.00
Energy relative to the elements in eV/atom: 0.12

---

Cd4Pt3: relaxed, PBE-GGA.

The structure in POSCAR format:
```
Cd4Pt3
1.0
-3.7297 0.7679 -2.6228
-1.1609 -3.0152 -3.3076
-5.7874 -4.4462 2.8526
Cd Pt
4 3
Cartesian
-6.5061 -3.6840 -4.0536 Cd
-3.8754 -2.0451 -3.2391 Cd
-6.8026 -4.6484 0.1614 Cd
-4.1719 -3.0095 0.9759 Cd
0.0000 0.0000 0.0000 Pt
-8.0633 -5.0689 -2.2446 Pt
-2.6147 -1.6246 -0.8331 Pt
```

Computed properties:
Relative energy among the computed polymorphs in meV/atom: 0
Uncorrected energy in eV per atom: -3.39
Total magnetization in μB/cell: 0.00
Energy relative to the elements in eV/atom: -0.27

---

CdPt2: relaxed, PBE-GGA.

The structure in POSCAR format:
```
CdPt2
1.0
2.8980 0.0000 0.0000
-1.4490 2.5097 0.0000
0.0000 0.0000 6.9306
Cd Pt
1 2
Cartesian
0.0000 0.0000 0.0000 Cd
1.4490 0.8366 2.3107 Pt
0.0000 1.6731 4.6199 Pt
```

Computed properties:
Uncorrected energy in eV per atom: -4.46
Total magnetization in μB/cell: 0.00
Energy relative to the elements in eV/atom: -0.13

---

CdPt2: relaxed, PBE-GGA.

The structure in POSCAR format:
```
CdPt2
1.0
2.8540 0.0000 0.0000
0.0000 4.0692 0.0000
-1.4270 -2.0346 4.3710
Pt Cd
2 1
Cartesian
0.0000 0.0000 2.8945 Pt
1.4270 2.0346 1.4765 Pt
0.0000 0.0000 0.0000 Cd
```

Computed properties:
Uncorrected energy in eV per atom: -4.50
Total magnetization in μB/cell: 0.00
Energy relative to the elements in eV/atom: -0.17

---

Cd3Pt5: relaxed, PBE-GGA.

The structure in POSCAR format:
```
Cd3Pt5
1.0
7.6010 -0.0815 -0.5278
-5.9502 4.7304 -0.5278
-1.2791 -3.6023 8.8899
Pt Cd
10 6
Cartesian
0.0411 1.9768 1.3219 Pt
2.8049 1.2527 1.0724 Pt
3.6476 -0.4713 5.0115 Pt
-5.2411 0.1825 7.9560 Pt
1.0359 -1.0221 5.2855 Pt
-2.5931 -0.7578 7.9560 Pt
0.3894 -0.7645 1.8497 Pt
-3.2091 1.7063 3.8976 Pt
5.3888 0.3352 1.0724 Pt
-0.6231 2.1846 4.7578 Pt
-0.4056 0.8077 7.1041 Cd
-2.6279 3.3430 1.6563 Cd
-1.3692 -0.4360 4.1276 Cd
-0.0014 -1.9534 7.6319 Cd
2.8463 -2.7279 7.3162 Cd
1.6130 1.1226 3.5999 Cd
```

Computed properties:
Relative energy among the computed polymorphs in meV/atom: 111
Uncorrected energy in eV per atom: -4.27
Total magnetization in μB/cell: 0.00
Energy relative to the elements in eV/atom: -0.15

---

> Among the records above, which one has the lowest energy relative to the elements?

Cd4Pt3

---

> Among the records above, which one has the highest total magnetization?

CdPt6

---

> total magnetization of number 8 (Cd3Pt5)?

0.00 μB/cell